VASP calculation (PBE-GGA) on a relaxed structure of KAs2W.

Lattice parameters (Å, degrees): 2.8364 2.8364 11.3930 90.00 90.00 104.78
Last column: nearest neighbours and their distance in Å.
Fractional coordinates of all 4 atoms:
As1 0.0000 0.0000 0.9497  2 W 2.62, 4 As 2.84
K1 0.0000 0.0000 0.5096  4 K 2.84
As2 0.5000 0.5000 0.2637  4 As 2.84
W1 0.5000 0.5000 0.7770  2 As 2.62, 4 W 2.84

Computed properties:
energy of formation from the pure elements	0.6308	eV per atom
Fermi-level density of states	2.78	states/eV/f.u.
theoretical density	7.0	g cm⁻³

---

VASP calculation (PBE-GGA) on a relaxed structure of KFeAgCl4.

Lattice parameters (Å, degrees): 6.4232 7.3487 8.5285 90.00 104.53 90.00
Last column: nearest neighbours and their distance in Å.
Fractional coordinates of all 14 atoms:
Cl1 0.4808 0.7500 0.5574  1 Fe 2.28
Cl2 0.5192 0.2500 0.4426  1 Fe 2.28
Fe1 0.7689 0.2500 0.6847  4 Cl 2.27-2.34
Cl3 0.0156 0.4895 0.7198  1 Fe 2.34
Ag1 0.8438 0.7500 0.4786  5 Cl 2.58-2.82
K1 0.2457 0.2500 0.0643  6 Cl 3.14-3.43
Cl4 0.3593 0.7500 0.0905  1 Fe 2.27
Cl5 0.0156 0.0105 0.7198  1 Fe 2.34
Cl6 0.9844 0.5105 0.2802  1 Fe 2.34
K2 0.7543 0.7500 0.9357  6 Cl 3.14-3.43
Cl7 0.6407 0.2500 0.9095  1 Fe 2.27
Fe2 0.2311 0.7500 0.3153  4 Cl 2.27-2.34
Cl8 0.9844 0.9895 0.2802  1 Fe 2.34
Ag2 0.1562 0.2500 0.5214  5 Cl 2.58-2.82

Computed properties:
Fermi-level density of states	6.88	states/eV/f.u.
theoretical density	2.9	g cm⁻³
formation energy (no corrections)	-0.967	eV/atom

---

VASP calculation (PBE-GGA) on a relaxed structure of Nd3W2N7.

Lattice parameters (Å, degrees): 3.9030 4.0234 10.7626 100.77 90.00 90.00
Last column: nearest neighbours and their distance in Å.
Fractional coordinates of all 12 atoms:
Nd1 0.5000 0.3225 0.6449  8 N 2.62-2.82
Nd2 0.5000 0.6775 0.3551  8 N 2.62-2.82
N1 0.0000 0.8067 0.6133  1 W 2.00
N2 0.0000 0.0000 0.0000  2 W 2.09
N3 0.5000 0.0971 0.1942  2 W 1.95
N4 0.0000 0.4050 0.8101  2 W 2.01
W1 0.0000 0.0989 0.1978  6 N 1.95-2.09
N5 0.5000 0.9029 0.8058  2 W 1.95
N6 0.0000 0.5950 0.1899  2 W 2.01
W2 0.0000 0.9011 0.8022  6 N 1.95-2.09
Nd3 0.5000 0.5000 0.0000  12 N 2.80-2.87
N7 0.0000 0.1933 0.3867  1 W 2.00

Computed properties:
Fermi-level density of states	1.53	states/eV/f.u.
theoretical density	9.0	g cm⁻³
formation energy (no corrections)	-0.788	eV/atom

---

VASP calculation (PBE-GGA) on a relaxed structure of MnMoCl2.

Lattice parameters (Å, degrees): 4.6895 4.6895 4.6895 60.00 60.00 60.00
Last column: nearest neighbours and their distance in Å.
Fractional coordinates of all 4 atoms:
Cl1 0.2500 0.2500 0.2500  4 Mn 2.87, 4 Cl 2.87
Cl2 0.0000 0.0000 0.0000  4 Mo 2.87, 4 Cl 2.87
Mn1 0.5000 0.5000 0.5000  4 Cl 2.87, 4 Mo 2.87
Mo1 0.7500 0.7500 0.7500  4 Cl 2.87, 4 Mn 2.87

Computed properties:
Fermi-level density of states	0.96	states/eV/f.u.
theoretical density	5.1	g cm⁻³
formation energy (no corrections)	0.636	eV/atom

---

VASP calculation (PBE-GGA) on a relaxed structure of LuPaIrRu.

Lattice parameters (Å, degrees): 4.8236 4.8236 4.8236 60.00 60.00 60.00
Last column: nearest neighbours and their distance in Å.
Fractional coordinates of all 4 atoms:
Ir1 0.2500 0.2500 0.2500  4 Pa 2.95, 4 Lu 2.95
Ru1 0.7500 0.7500 0.7500  4 Pa 2.95, 4 Lu 2.95
Pa1 0.5000 0.5000 0.5000  4 Ru 2.95, 4 Ir 2.95
Lu1 0.0000 0.0000 0.0000  4 Ir 2.95, 4 Ru 2.95

Computed properties:
energy of formation from the pure elements	-0.6259	eV per atom
Fermi-level density of states	4.34	states/eV/f.u.
theoretical density	14.6	g cm⁻³

---

VASP calculation (PBE-GGA) on a relaxed structure of K2SmGeTe4.

Lattice parameters (Å, degrees): 9.2985 9.2985 9.4601 120.58 120.58 90.29
Last column: nearest neighbours and their distance in Å.
Fractional coordinates of all 16 atoms:
Te1 0.2471 0.7104 0.4788  1 Ge 3.06, 2 Sm 3.16, 2 K 3.42
Te2 0.2379 0.2621 0.0380  2 Ge 3.03, 1 Sm 3.16
K1 0.5000 0.0000 0.0000  6 Te 3.42-3.47
Sm1 0.0000 0.5000 0.5000  6 Te 3.16
Te3 0.7896 0.2529 0.0212  1 Ge 3.06, 2 Sm 3.16, 2 K 3.42
Te4 0.7621 0.7379 0.9620  2 Ge 3.03, 1 Sm 3.16
Te5 0.7621 0.7379 0.5380  2 Ge 3.03, 1 Sm 3.16
Te6 0.2379 0.2621 0.4620  2 Ge 3.03, 1 Sm 3.16
Ge1 0.0000 0.0000 0.0000  6 Te 3.03-3.06
Ge2 0.5000 0.5000 0.5000  6 Te 3.03-3.06
K2 0.5000 0.0000 0.5000  6 Te 3.42-3.47
Te7 0.7529 0.2896 0.5212  1 Ge 3.06, 2 Sm 3.16, 2 K 3.42
Te8 0.2104 0.7471 0.9788  1 Ge 3.06, 2 Sm 3.16, 2 K 3.42
K3 0.0000 0.0000 0.5000  6 Te 3.54-3.55
Sm2 0.0000 0.5000 0.0000  6 Te 3.16
K4 0.5000 0.5000 0.0000  6 Te 3.54-3.55

Computed properties:
Fermi-level density of states	8.43	states/eV/f.u.
theoretical density	4.8	g cm⁻³
formation energy (no corrections)	-0.831	eV/atom

---

VASP calculation (PBE-GGA) on a relaxed structure of CsPrCuI6.

Lattice parameters (Å, degrees): 8.5701 7.6768 8.4511 85.97 80.49 55.11
Last column: nearest neighbours and their distance in Å.
Fractional coordinates of all 9 atoms:
I1 0.5721 0.0031 0.2607  1 Cu 2.70
Cu1 0.2812 0.3376 0.4499  5 I 2.70-2.81
Pr1 0.6679 0.6452 0.5252  6 I 3.04-3.22
I2 0.4232 0.5678 0.3332  1 Cu 2.72
I3 0.6223 0.4100 0.8142  1 Pr 3.04
I4 0.3525 0.0825 0.7058  1 Cu 2.71
Cs1 0.0663 0.9021 0.0159  7 I 3.99-4.18
I5 0.0267 0.3753 0.2574  1 Cu 2.81
I6 0.9876 0.6764 0.6377  1 Cu 2.72

Computed properties:
Fermi-level density of states	2.53	states/eV/f.u.
theoretical density	4.1	g cm⁻³
formation energy (no corrections)	-0.974	eV/atom

---

VASP calculation (PBE-GGA) on a relaxed structure of Li3NbRh.

Lattice parameters (Å, degrees): 4.3401 4.3401 4.3401 90.00 90.00 90.00
Last column: nearest neighbours and their distance in Å.
Fractional coordinates of all 5 atoms:
Li1 0.0000 0.5000 0.0000  2 Rh 2.17
Li2 0.0000 0.0000 0.5000  2 Rh 2.17
Rh1 0.0000 0.0000 0.0000  6 Li 2.17
Li3 0.5000 0.0000 0.0000  2 Rh 2.17
Nb1 0.5000 0.5000 0.5000  12 Li 3.07

Computed properties:
energy of formation from the pure elements	0.8326	eV per atom
Fermi-level density of states	4.14	states/eV/f.u.
theoretical density	4.4	g cm⁻³

---

VASP calculation (PBE-GGA) on a relaxed structure of LaY3Cd.

Lattice parameters (Å, degrees): 5.6988 5.6988 5.6988 90.00 90.00 90.00
Last column: nearest neighbours and their distance in Å.
Fractional coordinates of all 5 atoms:
Cd1 0.0000 0.0000 0.0000  6 Y 2.85
Y1 0.5000 0.0000 0.0000  2 Cd 2.85
Y2 0.0000 0.5000 0.0000  2 Cd 2.85
Y3 0.0000 0.0000 0.5000  2 Cd 2.85
La1 0.5000 0.5000 0.5000  12 Y 4.03

Computed properties:
energy of formation from the pure elements	0.2859	eV per atom
Fermi-level density of states	7.31	states/eV/f.u.
theoretical density	4.6	g cm⁻³

---

VASP calculation (PBE-GGA) on a relaxed structure of GaCu2Pb2.

Lattice parameters (Å, degrees): 6.8980 6.8980 4.3641 90.00 90.00 90.00
Last column: nearest neighbours and their distance in Å.
Fractional coordinates of all 10 atoms:
Ga1 0.5000 0.5000 0.0000  4 Cu 2.70
Cu1 0.8695 0.6305 0.0000  1 Cu 2.55, 2 Ga 2.70
Pb1 0.3260 0.1740 0.5000  6 Cu 2.90-3.04
Ga2 0.0000 0.0000 0.0000  4 Cu 2.70
Cu2 0.6305 0.1305 0.0000  1 Cu 2.55, 2 Ga 2.70
Cu3 0.1305 0.3695 0.0000  1 Cu 2.55, 2 Ga 2.70
Pb2 0.6740 0.8260 0.5000  6 Cu 2.90-3.04
Pb3 0.1740 0.6740 0.5000  6 Cu 2.90-3.04
Cu4 0.3695 0.8695 0.0000  1 Cu 2.55, 2 Ga 2.70
Pb4 0.8260 0.3260 0.5000  6 Cu 2.90-3.04

Computed properties:
energy of formation from the pure elements	0.1641	eV per atom
Fermi-level density of states	1.91	states/eV/f.u.
theoretical density	9.8	g cm⁻³

---

VASP calculation (PBE-GGA) on a relaxed structure of K5NpS4.

Lattice parameters (Å, degrees): 4.3746 8.5882 9.7020 99.12 103.03 90.00
Last column: nearest neighbours and their distance in Å.
Fractional coordinates of all 10 atoms:
K1 0.8226 0.1419 0.6452  4 S 3.04-3.31
S1 0.3547 0.9177 0.7094  1 Np 2.72, 4 K 2.98-3.04
S2 0.6453 0.0823 0.2906  1 Np 2.72, 4 K 2.98-3.04
S3 0.0098 0.7866 0.0195  2 Np 2.88, 2 K 3.07-3.13
S4 0.9902 0.2134 0.9805  2 Np 2.88, 2 K 3.07-3.13
K2 0.5000 0.5000 0.0000  4 S 3.28
K3 0.1531 0.3208 0.3062  3 S 2.98-3.07
K4 0.1774 0.8581 0.3548  4 S 3.04-3.31
Np1 0.5000 0.0000 0.0000  6 S 2.72-2.88
K5 0.8469 0.6792 0.6938  3 S 2.98-3.07

Computed properties:
Fermi-level density of states	8.15	states/eV/f.u.
theoretical density	2.7	g cm⁻³
formation energy (no corrections)	-1.068	eV/atom

---

VASP calculation (PBE-GGA) on a relaxed structure of CaCo2Hg.

Lattice parameters (Å, degrees): 4.9809 4.9809 4.9809 130.73 130.74 72.24
Last column: nearest neighbours and their distance in Å.
Fractional coordinates of all 4 atoms:
Co1 0.0000 0.0000 0.0000  4 Hg 2.89, 4 Ca 2.89, 4 Co 2.94
Hg1 0.7500 0.2500 0.5000  8 Co 2.89, 4 Ca 2.94
Co2 0.5000 0.5000 0.0000  4 Hg 2.89, 4 Ca 2.89, 4 Co 2.94
Ca1 0.2500 0.7500 0.5000  8 Co 2.89, 4 Hg 2.94

Computed properties:
energy of formation from the pure elements	0.4262	eV per atom
Fermi-level density of states	7.86	states/eV/f.u.
theoretical density	8.6	g cm⁻³

---

Among the records above, which one has the lowest theoretical density?
K5NpS4